DFT (PBE-GGA) results for a geometry-optimized YMg2In structure.

Lattice parameters (Å, degrees): 5.805 5.805 5.805 133.42 133.42 68.00
Fractional positions:
Y  0.250  0.750  0.500
Mg  0.000  0.000  0.000
Mg  0.500  0.500  0.000
In  0.750  0.250  0.500

Values from the calculation:
uncorrected energy: -13.08 eV/f.u.
crystal system: tetragonal
ΔH_f (0 K): -0.17 eV/atom



DFT (PBE-GGA) results for a geometry-optimized AsPt2I structure.

Lattice parameters (Å, degrees): 6.591 6.591 6.450 59.28 59.28 90.00
Fractional positions:
Pt  0.172  0.625  0.250
Pt  0.375  0.422  0.750
Pt  0.578  0.125  0.250
Pt  0.875  0.828  0.750
I  0.000  0.000  0.000
I  0.750  0.250  0.500
As  0.500  0.500  0.000
As  0.250  0.750  0.500

Values from the calculation:
uncorrected energy: -17.97 eV/f.u.
crystal system: tetragonal
distance to the lowest polymorph of the same formula: 0.00 eV/f.u.
energy relative to the elements, uncorrected: 0.08 eV/atom



Please write out number 1 again, unchanged.
DFT (PBE-GGA) results for a geometry-optimized YMg2In structure.

Lattice parameters (Å, degrees): 5.805 5.805 5.805 133.42 133.42 68.00
Fractional positions:
Y  0.250  0.750  0.500
Mg  0.000  0.000  0.000
Mg  0.500  0.500  0.000
In  0.750  0.250  0.500

Values from the calculation:
uncorrected energy: -13.08 eV/f.u.
crystal system: tetragonal
ΔH_f (0 K): -0.17 eV/atom



Question: uncorrected energy of number 2 (AsPt2I)?
Answer: -17.97 eV/f.u.